First-principles (GGA-PBE) data for Li2BeIr after structural relaxation, as listed in the Alexandria database.

ΔE_f = -0.255 eV per atom
DOS at the Fermi energy = 0.84 states/eV per cell
Space-group type = No. 47

a = 2.9418 Å, b = 3.7045 Å, c = 4.2490 Å
α = 90.00°, β = 90.00°, γ = 90.00°
Closest atoms and distances in Å follow each position.
Positions (direct):
Li  0.0000  0.0000  0.0000  4 Li 2.37, 4 Ir 2.58
Li  0.5000  0.5000  0.0000  4 Li 2.37, 4 Be 2.58
Be  0.0000  0.5000  0.5000  4 Ir 2.37, 4 Li 2.58
Ir  0.5000  0.0000  0.5000  4 Be 2.37, 4 Li 2.58


First-principles (GGA-PBE) data for Pm2MgTl3Se6 after structural relaxation, as listed in the Alexandria database.

DOS at the Fermi energy = 5.68 states/eV per cell
Space-group type = No. 12
Uncorrected formation energy = -1126 meV/atom

a = 7.3265 Å, b = 7.3265 Å, c = 7.8860 Å
α = 98.95°, β = 98.95°, γ = 120.04°
Closest atoms and distances in Å follow each position.
Positions (direct):
Pm  0.1658  0.8342  0.0000  6 Se 2.94-2.95
Pm  0.8342  0.1658  0.0000  6 Se 2.94-2.95
Mg  0.5000  0.5000  0.0000  6 Se 2.82-2.84
Tl  0.0000  0.0000  0.5000  6 Se 3.24-3.33
Tl  0.3305  0.6695  0.5000  6 Se 3.24-3.32
Tl  0.6695  0.3305  0.5000  6 Se 3.24-3.32
Se  0.1098  0.4307  0.7910  1 Mg 2.82, 2 Pm 2.94-2.95
Se  0.2497  0.2497  0.2119  1 Mg 2.84, 2 Pm 2.94
Se  0.4307  0.1098  0.7910  1 Mg 2.82, 2 Pm 2.94-2.95
Se  0.5693  0.8902  0.2090  1 Mg 2.82, 2 Pm 2.94-2.95
Se  0.7503  0.7503  0.7881  1 Mg 2.84, 2 Pm 2.94
Se  0.8902  0.5693  0.2090  1 Mg 2.82, 2 Pm 2.94-2.95


First-principles (GGA-PBE) data for Tb2MgGa3Ni4 after structural relaxation, as listed in the Alexandria database.

ΔE_f = -0.487 eV per atom
DOS at the Fermi energy = 10.78 states/eV per cell
Space-group type = No. 115

a = 4.0288 Å, b = 4.0288 Å, c = 10.4249 Å
α = 90.00°, β = 90.00°, γ = 90.00°
Closest atoms and distances in Å follow each position.
Positions (direct):
Tb  0.0000  0.5000  0.2383  8 Ni 3.09-3.20, 6 Ga 3.09-3.39, 2 Mg 3.39
Tb  0.5000  0.0000  0.7617  8 Ni 3.09-3.20, 6 Ga 3.09-3.39, 2 Mg 3.39
Mg  0.0000  0.0000  0.5000  4 Ni 2.54
Ga  0.0000  0.5000  0.8760  5 Ni 2.38-2.39
Ga  0.5000  0.0000  0.1240  5 Ni 2.38-2.39
Ga  0.5000  0.5000  0.5000  4 Ni 2.54
Ni  0.0000  0.0000  0.0000  4 Ga 2.39
Ni  0.0000  0.5000  0.6478  3 Ga 2.38-2.54, 2 Mg 2.54
Ni  0.5000  0.0000  0.3522  3 Ga 2.38-2.54, 2 Mg 2.54
Ni  0.5000  0.5000  0.0000  4 Ga 2.39


First-principles (GGA-PBE) data for Rb2GaAgHg6 after structural relaxation, as listed in the Alexandria database.

ΔE_f = -0.120 eV per atom
DOS at the Fermi energy = 3.61 states/eV per cell
Space-group type = No. 2

a = 7.4206 Å, b = 7.4642 Å, c = 8.1354 Å
α = 63.31°, β = 63.05°, γ = 60.36°
Closest atoms and distances in Å follow each position.
Positions (direct):
Rb  0.2162  0.2135  0.3522  12 Hg 3.88-4.23
Rb  0.7838  0.7865  0.6478  12 Hg 3.88-4.23
Ga  0.0000  0.0000  0.0000  6 Hg 2.77
Ag  0.5000  0.5000  0.5000  6 Hg 2.85
Hg  0.2515  0.2528  0.8089  1 Ga 2.77, 1 Ag 2.85
Hg  0.2521  0.6866  0.8099  1 Ga 2.77, 1 Ag 2.85
Hg  0.3147  0.7441  0.1894  1 Ga 2.77, 1 Ag 2.85
Hg  0.6853  0.2559  0.8106  1 Ga 2.77, 1 Ag 2.85
Hg  0.7479  0.3134  0.1901  1 Ga 2.77, 1 Ag 2.85
Hg  0.7485  0.7472  0.1911  1 Ga 2.77, 1 Ag 2.85


First-principles (GGA-PBE) data for Ac5Zn2Hg2 after structural relaxation, as listed in the Alexandria database.

ΔE_f = -0.280 eV per atom
DOS at the Fermi energy = 20.68 states/eV per cell
Space-group type = No. 64

a = 10.0383 Å, b = 10.0383 Å, c = 8.2419 Å
α = 90.00°, β = 90.00°, γ = 47.86°
Closest atoms and distances in Å follow each position.
Positions (direct):
Ac  0.0000  0.0000  0.0000  4 Zn 3.30
Ac  0.0448  0.6812  0.6782  3 Hg 3.34-3.39, 3 Zn 3.47-3.53
Ac  0.1812  0.5448  0.1782  3 Hg 3.34-3.39, 3 Zn 3.47-3.53
Ac  0.3188  0.9552  0.6782  3 Hg 3.34-3.39, 3 Zn 3.47-3.53
Ac  0.4552  0.8188  0.1782  3 Hg 3.34-3.39, 3 Zn 3.47-3.53
Ac  0.5000  0.5000  0.5000  4 Zn 3.30
Ac  0.5448  0.1812  0.8218  3 Hg 3.34-3.39, 3 Zn 3.47-3.53
Ac  0.6812  0.0448  0.3218  3 Hg 3.34-3.39, 3 Zn 3.47-3.53
Ac  0.8188  0.4552  0.8218  3 Hg 3.34-3.39, 3 Zn 3.47-3.53
Ac  0.9552  0.3188  0.3218  3 Hg 3.34-3.39, 3 Zn 3.47-3.53
Zn  0.1123  0.8877  0.3853  1 Zn 2.63
Zn  0.3877  0.6123  0.8853  1 Zn 2.63
Zn  0.6123  0.3877  0.1147  1 Zn 2.63
Zn  0.8877  0.1123  0.6147  1 Zn 2.63
Hg  0.2191  0.2191  0.0000  6 Ac 3.34-3.39
Hg  0.2809  0.2809  0.5000  6 Ac 3.34-3.39
Hg  0.7191  0.7191  0.5000  6 Ac 3.34-3.39
Hg  0.7809  0.7809  0.0000  6 Ac 3.34-3.39


First-principles (GGA-PBE) data for RbLiAs after structural relaxation, as listed in the Alexandria database.

ΔE_f = -0.253 eV per atom
DOS at the Fermi energy = 3.12 states/eV per cell
Space-group type = No. 187
Distance to the lowest polymorph of the same formula = 204 meV/atom

a = 4.5650 Å, b = 4.5650 Å, c = 5.1905 Å
α = 90.00°, β = 90.00°, γ = 120.00°
Closest atoms and distances in Å follow each position.
Positions (direct):
Rb  0.0000  0.0000  0.0000  6 As 3.70, 6 Li 3.70
Li  0.6667  0.3333  0.5000  3 As 2.64
As  0.3333  0.6667  0.5000  3 Li 2.64


Which of these has the lowest DOS at the Fermi energy? Li2BeIr


Look up the DOS at the Fermi energy of the third one. 10.78 states/eV per cell


Look up the DOS at the Fermi energy of the fourth one. 3.61 states/eV per cell


Look up the DOS at the Fermi energy of the fifth one. 20.68 states/eV per cell